Below is an optimized crystal structure of AgSbTe2, with properties calculated at the GGA-PBE level.

Summary:
Raw total energy (eV/f.u.): -13.124
Uncorrected formation energy (kJ/mol of formula units): 13
Mass density (g/cm³): 6.8

```
data_AgSbTe2
_chemical_formula_sum 'Ag1 Sb1 Te2'
_cell_length_a 3.211
_cell_length_b 6.019
_cell_length_c 6.091
_cell_angle_alpha 90.00
_cell_angle_beta 90.09
_cell_angle_gamma 90.00
_space_group_name_H-M_alt 'P 1 m 1'
_space_group_IT_number 6
loop_
_space_group_symop_operation_xyz
'x,y,z'
'x,-y,z'
loop_
_atom_site_label
_atom_site_type_symbol
_atom_site_fract_x
_atom_site_fract_y
_atom_site_fract_z
_atom_site_occupancy
Ag1 Ag 0.000 0.000 0.000 1
Sb1 Sb 0.002 0.500 0.499 1
Te1 Te 0.002 0.000 0.500 1
Te2 Te 0.999 0.500 0.999 1
```

=====

Below is an optimized crystal structure of SrLiP2, with properties calculated at the GGA-PBE level.

Summary:
Calculated formation energy (eV/atom): -0.0737
Raw total energy (eV/f.u.): -14.710
Distance to the lowest polymorph of the same formula (meV per atom): 652
Mass density (g/cm³): 2.9

```
data_SrLiP2
_chemical_formula_sum 'Sr3 Li3 P6'
_cell_length_a 3.5562
_cell_length_b 3.5562
_cell_length_c 24.5775
_cell_angle_alpha 90.00
_cell_angle_beta 90.00
_cell_angle_gamma 120.00
_space_group_name_H-M_alt 'R -3 m'
_space_group_IT_number 166
_space_group_name_Hall '-R 3 2"'
loop_
_atom_site_label
_atom_site_type_symbol
_atom_site_fract_x
_atom_site_fract_y
_atom_site_fract_z
_atom_site_occupancy
Sr1 Sr 0.0000 0.0000 0.0000 1
Li1 Li 0.0000 0.0000 0.5000 1
P1 P 0.0000 0.0000 0.2408 1
```

=====

Below is an optimized crystal structure of U2TlF8, with properties calculated at the GGA-PBE level.

Summary:
Raw total energy (eV/f.u.): -75.223
Uncorrected formation energy (kJ/mol of formula units): -3407
Distance to the lowest polymorph of the same formula (meV per atom): 60
Mass density (g/cm³): 7.7

```
data_U2TlF8
_chemical_formula_sum 'U4 Tl2 F16'
_cell_length_a 12.039
_cell_length_b 7.433
_cell_length_c 4.155
_cell_angle_alpha 90.00
_cell_angle_beta 104.57
_cell_angle_gamma 90.00
_space_group_name_H-M_alt 'C 1 2/m 1'
_space_group_IT_number 12
loop_
_space_group_symop_operation_xyz
'x,y,z'
'-x,-y,-z'
'-x,y,-z'
'x,-y,z'
'x+1/2,y+1/2,z'
'-x+1/2,-y+1/2,-z'
'-x+1/2,y+1/2,-z'
'x+1/2,-y+1/2,z'
loop_
_atom_site_label
_atom_site_type_symbol
_atom_site_fract_x
_atom_site_fract_y
_atom_site_fract_z
_atom_site_occupancy
U1 U 0.170 0.000 0.402 1
Tl1 Tl 0.000 0.500 0.000 1
F1 F 0.054 0.000 0.797 1
F2 F 0.146 0.298 0.468 1
F3 F 0.235 0.500 0.031 1
```

=====

Below is an optimized crystal structure of Na8B11C5, with properties calculated at the GGA-PBE level.

Summary:
Calculated formation energy (eV/atom): 0.1354
Raw total energy (eV/f.u.): -126.873
Distance to the lowest polymorph of the same formula (meV per atom): 34
Mass density (g/cm³): 2.4

```
data_Na8B11C5
_chemical_formula_sum 'Na16 B22 C10'
_cell_length_a 2.835
_cell_length_b 17.102
_cell_length_c 10.212
_cell_angle_alpha 90.00
_cell_angle_beta 90.00
_cell_angle_gamma 90.00
_space_group_name_H-M_alt 'A m m 2'
_space_group_IT_number 38
loop_
_space_group_symop_operation_xyz
'x,y,z'
'-x,-y,z'
'-x,y,z'
'x,-y,z'
'x,y+1/2,z+1/2'
'-x,-y+1/2,z+1/2'
'-x,y+1/2,z+1/2'
'x,-y+1/2,z+1/2'
loop_
_atom_site_label
_atom_site_type_symbol
_atom_site_fract_x
_atom_site_fract_y
_atom_site_fract_z
_atom_site_occupancy
Na1 Na 0.000 0.126 0.000 1
Na2 Na 0.000 0.127 0.499 1
Na3 Na 0.500 0.126 0.749 1
Na4 Na 0.500 0.127 0.250 1
B1 B 0.000 0.000 0.178 1
B2 B 0.000 0.000 0.343 1
B3 B 0.000 0.000 0.664 1
B4 B 0.000 0.000 0.825 1
B5 B 0.000 0.250 0.164 1
B6 B 0.500 0.000 0.084 1
B7 B 0.500 0.000 0.566 1
B8 B 0.500 0.000 0.921 1
B9 B 0.500 0.250 0.414 1
C1 C 0.000 0.249 0.332 1
C2 C 0.500 0.000 0.416 1
C3 C 0.500 0.250 0.082 1
```